Record 1
A relaxed structure of Nb2TcGe, computed with PBE.

Results
raw total energy: -8.88 eV per atom
space-group type: F-43m

a b c (Å): 4.5134 4.5134 4.5134
angles (deg): 60.00 60.00 60.00
Closest atoms and distances in Å follow each position.
Atoms (fractional coordinates):
Nb: 0.0000 0.0000 0.0000  4 Tc 2.76, 4 Nb 2.76
Nb: 0.2500 0.2500 0.2500  4 Ge 2.76, 4 Nb 2.76
Tc: 0.7500 0.7500 0.7500  4 Nb 2.76, 4 Ge 2.76
Ge: 0.5000 0.5000 0.5000  4 Nb 2.76, 4 Tc 2.76


Record 2
A relaxed structure of NdNpTe, computed with PBE.

Results
energy above the lowest structure with this stoichiometry: 0.000 eV per atom
space-group type: F-43m

a b c (Å): 5.1766 5.1766 5.1766
angles (deg): 60.00 60.00 60.00
Closest atoms and distances in Å follow each position.
Atoms (fractional coordinates):
Nd: 0.0000 0.0000 0.0000  4 Te 3.17
Np: 0.5000 0.5000 0.5000  4 Te 3.17
Te: 0.2500 0.2500 0.2500  4 Np 3.17, 4 Nd 3.17


Record 3
A relaxed structure of DyCdNO, computed with PBE.

Results
energy above the lowest structure with this stoichiometry: 0.000 eV per atom
space-group type: P4/mmm

a b c (Å): 3.4540 3.4540 4.6309
angles (deg): 90.00 90.00 90.00
Closest atoms and distances in Å follow each position.
Atoms (fractional coordinates):
Dy: 0.0000 0.0000 0.0000  2 O 2.32, 4 N 2.44
Cd: 0.5000 0.5000 0.5000  2 N 2.32, 4 O 2.44
N: 0.5000 0.5000 0.0000  2 Cd 2.32, 4 Dy 2.44
O: 0.0000 0.0000 0.5000  2 Dy 2.32, 4 Cd 2.44


Record 4
A relaxed structure of HoZrIr, computed with PBE.

Results
formation energy: 0.28 eV/f.u.
space-group type: F-43m

a b c (Å): 4.5887 4.5887 4.5887
angles (deg): 60.00 60.00 60.00
Closest atoms and distances in Å follow each position.
Atoms (fractional coordinates):
Ho: 0.0000 0.0000 0.0000  4 Zr 2.81
Zr: 0.2500 0.2500 0.2500  4 Ir 2.81, 4 Ho 2.81
Ir: 0.5000 0.5000 0.5000  4 Zr 2.81


Record 5
A relaxed structure of BaReO3, computed with PBE.

Results
raw total energy: -7.78 eV per atom
space-group type: P4/mmm

a b c (Å): 4.0225 4.0225 4.0399
angles (deg): 90.00 90.00 90.00
Closest atoms and distances in Å follow each position.
Atoms (fractional coordinates):
Ba: 0.0000 0.0000 0.0000  12 O 2.84-2.85
Re: 0.5000 0.5000 0.5000  6 O 2.01-2.02
O: 0.0000 0.5000 0.5000  2 Re 2.01
O: 0.5000 0.0000 0.5000  2 Re 2.01
O: 0.5000 0.5000 0.0000  2 Re 2.02


Record 6
A relaxed structure of Pr2AgSe3, computed with PBE.

Results
raw total energy: -5.20 eV per atom
space-group type: Pnma

a b c (Å): 10.8753 4.1162 13.9347
angles (deg): 90.00 90.00 90.00
Closest atoms and distances in Å follow each position.
Atoms (fractional coordinates):
Pr: 0.0167 0.2500 0.2449  6 Se 3.02-3.09
Pr: 0.2233 0.7500 0.5177  7 Se 3.06-3.38
Pr: 0.2767 0.2500 0.0177  7 Se 3.06-3.38
Pr: 0.4833 0.7500 0.7449  6 Se 3.02-3.09
Pr: 0.5167 0.2500 0.2551  6 Se 3.02-3.09
Pr: 0.7233 0.7500 0.9823  7 Se 3.06-3.38
Pr: 0.7767 0.2500 0.4823  7 Se 3.06-3.38
Pr: 0.9833 0.7500 0.7551  6 Se 3.02-3.09
Ag: 0.2344 0.2500 0.7290  4 Se 2.63-2.70
Ag: 0.2656 0.7500 0.2290  4 Se 2.63-2.70
Ag: 0.7344 0.2500 0.7710  4 Se 2.63-2.70
Ag: 0.7656 0.7500 0.2710  4 Se 2.63-2.70
Se: 0.0463 0.2500 0.6036  1 Ag 2.69
Se: 0.0925 0.7500 0.0972  1 Ag 2.63
Se: 0.2363 0.7500 0.8549  2 Ag 2.70
Se: 0.2637 0.2500 0.3549  2 Ag 2.70
Se: 0.4075 0.2500 0.5972  1 Ag 2.63
Se: 0.4537 0.7500 0.1036  1 Ag 2.69
Se: 0.5463 0.2500 0.8964  1 Ag 2.69
Se: 0.5925 0.7500 0.4028  1 Ag 2.63
Se: 0.7363 0.7500 0.6451  2 Ag 2.70
Se: 0.7637 0.2500 0.1451  2 Ag 2.70
Se: 0.9075 0.2500 0.9028  1 Ag 2.63
Se: 0.9537 0.7500 0.3964  1 Ag 2.69


| no. | total magnetization (μB per atom) | theoretical density (g/cm³) |
| --- | --- | --- |
| 1 | 0.004 | 9.1 |
| 2 | 1.918 | 8.6 |
| 3 | 0.000 | 9.2 |
| 4 | 0.000 | 10.9 |
| 5 | 0.005 | 9.4 |
| 6 | 0.001 | 6.7 |